Ho2GaPd3 (GGA-PBE, optimized geometry); space group = No. 69; energy of formation = -0.8222 eV/atom
1.0
-5.177 -2.287 0.424
1.310 -0.158 -5.520
5.096 -5.760 3.498
Ho Ga Pd
4 2 6
Cartesian
2.236 -3.570 -2.285
-2.912 -1.841 -3.837
-1.007 -4.635 0.687
-0.955 -0.604 -1.259
-0.874 -3.562 -2.230
2.103 -4.643 0.632
0.160 -1.932 -3.796
4.154 -5.259 -0.629
1.069 -6.272 2.198
-2.925 -2.945 -0.969
1.082 -2.390 0.325
0.146 -5.815 -1.923